(1)
A geometry-optimized BaAl6Ga2 structure. Source: Alexandria via LeMat-Bulk, functional PBE.

Cell: 4.4688 4.4688 9.2744 Å, 90.00 90.00 90.00°
Closest atoms and distances in Å follow each position.
Space group P4/mmm (No. 123)
Asymmetric unit:
Ba (0.0000, 0.0000, 0.0000)  8 Ga 3.46, 8 Al 3.69
Al (0.0000, 0.0000, 0.5000)  8 Al 2.81
Al (0.0000, 0.5000, 0.3170)  2 Ga 2.71, 4 Al 2.81
Al (0.5000, 0.5000, 0.5000)  8 Al 2.81
Ga (0.5000, 0.5000, 0.1507)  4 Al 2.71, 1 Ga 2.80

* ΔH_f (0 K): -0.104 eV per atom
* calculated total energy: -3.48 eV per atom
* crystal system: tetragonal
* theoretical density: 3.933 g cm⁻³

***

(2)
A geometry-optimized PrZn6Cu structure. Source: Alexandria via LeMat-Bulk, functional PBE.

Cell: 4.2015 4.2015 8.2025 Å, 90.00 90.00 90.00°
Closest atoms and distances in Å follow each position.
Space group P4/mmm (No. 123)
Asymmetric unit:
Pr (0.0000, 0.0000, 0.0000)  16 Zn 3.22-3.45
Zn (0.0000, 0.5000, 0.3337)  2 Cu 2.50, 3 Zn 2.58-2.73
Zn (0.5000, 0.5000, 0.1502)  5 Zn 2.46-2.58
Cu (0.0000, 0.0000, 0.5000)  8 Zn 2.50

* ΔH_f (0 K): -0.175 eV per atom
* calculated total energy: -2.24 eV per atom
* crystal system: tetragonal
* theoretical density: 6.846 g cm⁻³